1.
Entry from Alexandria: a relaxed structure of CaPt2W (PBE).

Cell and atoms, written as CIF:
```
data_CaPt2W
_chemical_formula_sum 'Ca2 Pt4 W2'
_symmetry_space_group_name_H-M 'C 1 2/m 1'
_symmetry_Int_Tables_number 12
_symmetry_space_group_name_Hall '-C 2y'
_cell_length_a 8.1952
_cell_length_b 2.8265
_cell_length_c 6.7705
_cell_angle_alpha 90.00
_cell_angle_beta 96.37
_cell_angle_gamma 90.00
loop_
_atom_site_label
_atom_site_fract_x
_atom_site_fract_y
_atom_site_fract_z
_atom_site_occupancy
Ca1 0.0000 0.0000 0.0000 1
Pt1 0.2444 0.5000 0.2995 1
W1 0.0000 0.5000 0.5000 1
```

Values from the calculation:
- Polymorph energy (0 for the lowest one): 0.252 eV per atom
- D(E_F): 2.03 states/eV/f.u.
- M_tot: 0.0 μB per formula unit
- Formation energy: -0.104 eV per atom

2.
Entry from Alexandria: a relaxed structure of CaPt2W (PBE).

Cell and atoms, written as CIF:
```
data_CaPt2W
_chemical_formula_sum 'Ca4 Pt8 W4'
_symmetry_space_group_name_H-M 'F m -3 m'
_symmetry_Int_Tables_number 225
_symmetry_space_group_name_Hall '-F 4 2 3'
_cell_length_a 6.5964
_cell_length_b 6.5964
_cell_length_c 6.5964
_cell_angle_alpha 90.00
_cell_angle_beta 90.00
_cell_angle_gamma 90.00
loop_
_atom_site_label
_atom_site_fract_x
_atom_site_fract_y
_atom_site_fract_z
_atom_site_occupancy
Ca1 0.0000 0.0000 0.0000 1
Pt1 0.2500 0.2500 0.2500 1
W1 0.0000 0.0000 0.5000 1
```

Values from the calculation:
- Polymorph energy (0 for the lowest one): 0.364 eV per atom
- D(E_F): 3.35 states/eV/f.u.
- M_tot: 0.0 μB per formula unit
- Formation energy: 0.008 eV per atom

3.
Entry from Alexandria: a relaxed structure of CaPt2W (PBE).

Cell and atoms, written as CIF:
```
data_CaPt2W
_chemical_formula_sum 'Ca2 Pt4 W2'
_symmetry_space_group_name_H-M 'I m m 2'
_symmetry_Int_Tables_number 44
_symmetry_space_group_name_Hall 'I 2 -2'
_cell_length_a 2.8413
_cell_length_b 4.7532
_cell_length_c 10.8035
_cell_angle_alpha 90.00
_cell_angle_beta 90.00
_cell_angle_gamma 90.00
loop_
_atom_site_label
_atom_site_fract_x
_atom_site_fract_y
_atom_site_fract_z
_atom_site_occupancy
Ca1 0.0000 0.0000 0.0000 1
Pt1 0.0000 0.0000 0.5034 1
Pt2 0.0000 0.5000 0.7699 1
W1 0.0000 0.5000 0.2132 1
```

Values from the calculation:
- Polymorph energy (0 for the lowest one): 0.199 eV per atom
- D(E_F): 2.16 states/eV/f.u.
- M_tot: 0.0 μB per formula unit
- Formation energy: -0.157 eV per atom

4.
Entry from Alexandria: a relaxed structure of CaPt2W (PBE).

Cell and atoms, written as CIF:
```
data_CaPt2W
_chemical_formula_sum 'Ca1 Pt2 W1'
_symmetry_space_group_name_H-M 'P 4/m m m'
_symmetry_Int_Tables_number 123
_symmetry_space_group_name_Hall '-P 4 2'
_cell_length_a 4.9795
_cell_length_b 4.9795
_cell_length_c 2.8286
_cell_angle_alpha 90.00
_cell_angle_beta 90.00
_cell_angle_gamma 90.00
loop_
_atom_site_label
_atom_site_fract_x
_atom_site_fract_y
_atom_site_fract_z
_atom_site_occupancy
Ca1 0.0000 0.0000 0.0000 1
Pt1 0.0000 0.5000 0.5000 1
W1 0.5000 0.5000 0.0000 1
```

Values from the calculation:
- Polymorph energy (0 for the lowest one): 0.052 eV per atom
- D(E_F): 3.49 states/eV/f.u.
- M_tot: 0.0 μB per formula unit
- Formation energy: -0.304 eV per atom

5.
Entry from Alexandria: a relaxed structure of Ca2PtW (PBE).

Cell and atoms, written as CIF:
```
data_Ca2PtW
_chemical_formula_sum 'Ca4 Pt2 W2'
_symmetry_space_group_name_H-M 'A m m 2'
_symmetry_Int_Tables_number 38
_symmetry_space_group_name_Hall 'A 2 -2'
_cell_length_a 4.3785
_cell_length_b 4.4637
_cell_length_c 10.7520
_cell_angle_alpha 90.00
_cell_angle_beta 90.00
_cell_angle_gamma 90.00
loop_
_atom_site_label
_atom_site_fract_x
_atom_site_fract_y
_atom_site_fract_z
_atom_site_occupancy
Ca1 0.0000 0.0000 0.0000 1
Ca2 0.5000 0.0000 0.2939 1
Pt1 0.0000 0.0000 0.6996 1
W1 0.5000 0.0000 0.5975 1
```

Values from the calculation:
- Polymorph energy (0 for the lowest one): 0.077 eV per atom
- D(E_F): 3.44 states/eV/f.u.
- M_tot: 0.0 μB per formula unit
- Formation energy: 0.196 eV per atom

6.
Entry from Alexandria: a relaxed structure of Ca2PtW (PBE).

Cell and atoms, written as CIF:
```
data_Ca2PtW
_chemical_formula_sum 'Ca2 Pt1 W1'
_symmetry_space_group_name_H-M 'P 4 m m'
_symmetry_Int_Tables_number 99
_symmetry_space_group_name_Hall 'P 4 -2'
_cell_length_a 3.2655
_cell_length_b 3.2655
_cell_length_c 9.1301
_cell_angle_alpha 90.00
_cell_angle_beta 90.00
_cell_angle_gamma 90.00
loop_
_atom_site_label
_atom_site_fract_x
_atom_site_fract_y
_atom_site_fract_z
_atom_site_occupancy
Ca1 0.0000 0.0000 0.0000 1
Ca2 0.5000 0.5000 0.3770 1
Pt1 0.0000 0.0000 0.6089 1
W1 0.5000 0.5000 0.7545 1
```

Values from the calculation:
- Polymorph energy (0 for the lowest one): 0.000 eV per atom
- D(E_F): 2.23 states/eV/f.u.
- M_tot: 0.0 μB per formula unit
- Formation energy: 0.120 eV per atom

7.
Entry from Alexandria: a relaxed structure of CaPt2W (PBE).

Cell and atoms, written as CIF:
```
data_CaPt2W
_chemical_formula_sum 'Ca2 Pt4 W2'
_symmetry_space_group_name_H-M 'I -4 m 2'
_symmetry_Int_Tables_number 119
_symmetry_space_group_name_Hall 'I -4 -2'
_cell_length_a 4.0035
_cell_length_b 4.0035
_cell_length_c 8.7314
_cell_angle_alpha 90.00
_cell_angle_beta 90.00
_cell_angle_gamma 90.00
loop_
_atom_site_label
_atom_site_fract_x
_atom_site_fract_y
_atom_site_fract_z
_atom_site_occupancy
Ca1 0.0000 0.0000 0.0000 1
Pt1 0.0000 0.0000 0.5000 1
Pt2 0.0000 0.5000 0.7500 1
W1 0.0000 0.5000 0.2500 1
```

Values from the calculation:
- Polymorph energy (0 for the lowest one): 0.413 eV per atom
- D(E_F): 3.12 states/eV/f.u.
- M_tot: 0.0 μB per formula unit
- Formation energy: 0.057 eV per atom

8.
Entry from Alexandria: a relaxed structure of Ca4PtW (PBE).

Cell and atoms, written as CIF:
```
data_Ca4PtW
_chemical_formula_sum 'Ca16 Pt4 W4'
_symmetry_space_group_name_H-M 'F -4 3 m'
_symmetry_Int_Tables_number 216
_symmetry_space_group_name_Hall 'F -4 2 3'
_cell_length_a 8.5776
_cell_length_b 8.5776
_cell_length_c 8.5776
_cell_angle_alpha 90.00
_cell_angle_beta 90.00
_cell_angle_gamma 90.00
loop_
_atom_site_label
_atom_site_fract_x
_atom_site_fract_y
_atom_site_fract_z
_atom_site_occupancy
Ca1 0.1245 0.1245 0.1245 1
Pt1 0.2500 0.2500 0.7500 1
W1 0.0000 0.0000 0.5000 1
```

Values from the calculation:
- D(E_F): 6.53 states/eV/f.u.
- M_tot: 4.4 μB per formula unit
- Formation energy: 1.086 eV per atom

9.
Entry from Alexandria: a relaxed structure of CaPtW3 (PBE).

Cell and atoms, written as CIF:
```
data_CaPtW3
_chemical_formula_sum 'Ca1 Pt1 W3'
_symmetry_space_group_name_H-M 'P m -3 m'
_symmetry_Int_Tables_number 221
_symmetry_space_group_name_Hall '-P 4 2 3'
_cell_length_a 4.8868
_cell_length_b 4.8868
_cell_length_c 4.8868
_cell_angle_alpha 90.00
_cell_angle_beta 90.00
_cell_angle_gamma 90.00
loop_
_atom_site_label
_atom_site_fract_x
_atom_site_fract_y
_atom_site_fract_z
_atom_site_occupancy
Ca1 0.0000 0.0000 0.0000 1
Pt1 0.5000 0.5000 0.5000 1
W1 0.0000 0.5000 0.5000 1
```

Values from the calculation:
- Polymorph energy (0 for the lowest one): 0.000 eV per atom
- D(E_F): 8.91 states/eV/f.u.
- M_tot: 0.0 μB per formula unit
- Formation energy: 1.772 eV per atom

10.
Entry from Alexandria: a relaxed structure of Ca2PtW (PBE).

Cell and atoms, written as CIF:
```
data_Ca2PtW
_chemical_formula_sum 'Ca2 Pt1 W1'
_symmetry_space_group_name_H-M 'P 4/m m m'
_symmetry_Int_Tables_number 123
_symmetry_space_group_name_Hall '-P 4 2'
_cell_length_a 3.6812
_cell_length_b 3.6812
_cell_length_c 6.5831
_cell_angle_alpha 90.00
_cell_angle_beta 90.00
_cell_angle_gamma 90.00
loop_
_atom_site_label
_atom_site_fract_x
_atom_site_fract_y
_atom_site_fract_z
_atom_site_occupancy
Ca1 0.0000 0.0000 0.2347 1
Pt1 0.5000 0.5000 0.0000 1
W1 0.5000 0.5000 0.5000 1
```

Values from the calculation:
- Polymorph energy (0 for the lowest one): 0.306 eV per atom
- D(E_F): 3.37 states/eV/f.u.
- M_tot: 3.1 μB per formula unit
- Formation energy: 0.426 eV per atom

11.
Entry from Alexandria: a relaxed structure of CaPt2W (PBE).

Cell and atoms, written as CIF:
```
data_CaPt2W
_chemical_formula_sum 'Ca1 Pt2 W1'
_symmetry_space_group_name_H-M 'P 4/m m m'
_symmetry_Int_Tables_number 123
_symmetry_space_group_name_Hall '-P 4 2'
_cell_length_a 2.9132
_cell_length_b 2.9132
_cell_length_c 8.3013
_cell_angle_alpha 90.00
_cell_angle_beta 90.00
_cell_angle_gamma 90.00
loop_
_atom_site_label
_atom_site_fract_x
_atom_site_fract_y
_atom_site_fract_z
_atom_site_occupancy
Ca1 0.0000 0.0000 0.0000 1
Pt1 0.5000 0.5000 0.2782 1
W1 0.0000 0.0000 0.5000 1
```

Values from the calculation:
- Polymorph energy (0 for the lowest one): 0.000 eV per atom
- D(E_F): 3.76 states/eV/f.u.
- M_tot: 0.0 μB per formula unit
- Formation energy: -0.356 eV per atom

12.
Entry from Alexandria: a relaxed structure of Ca2PtW (PBE).

Cell and atoms, written as CIF:
```
data_Ca2PtW
_chemical_formula_sum 'Ca6 Pt3 W3'
_symmetry_space_group_name_H-M 'R -3 m'
_symmetry_Int_Tables_number 166
_symmetry_space_group_name_Hall '-R 3 2"'
_cell_length_a 3.1202
_cell_length_b 3.1202
_cell_length_c 29.4568
_cell_angle_alpha 90.00
_cell_angle_beta 90.00
_cell_angle_gamma 120.00
loop_
_atom_site_label
_atom_site_fract_x
_atom_site_fract_y
_atom_site_fract_z
_atom_site_occupancy
Ca1 0.0000 0.0000 0.2466 1
Pt1 0.0000 0.0000 0.5000 1
W1 0.0000 0.0000 0.0000 1
```

Values from the calculation:
- Polymorph energy (0 for the lowest one): 0.319 eV per atom
- D(E_F): 5.03 states/eV/f.u.
- M_tot: 0.0 μB per formula unit
- Formation energy: 0.439 eV per atom

13.
Entry from Alexandria: a relaxed structure of Ca2PtW (PBE).

Cell and atoms, written as CIF:
```
data_Ca2PtW
_chemical_formula_sum 'Ca8 Pt4 W4'
_symmetry_space_group_name_H-M 'I -4 2 d'
_symmetry_Int_Tables_number 122
_symmetry_space_group_name_Hall 'I -4 2bw'
_cell_length_a 8.3427
_cell_length_b 8.3427
_cell_length_c 5.4110
_cell_angle_alpha 90.00
_cell_angle_beta 90.00
_cell_angle_gamma 90.00
loop_
_atom_site_label
_atom_site_fract_x
_atom_site_fract_y
_atom_site_fract_z
_atom_site_occupancy
Ca1 0.2022 0.2500 0.1250 1
Pt1 0.0000 0.0000 0.0000 1
W1 0.0000 0.0000 0.5000 1
```

Values from the calculation:
- Polymorph energy (0 for the lowest one): 0.551 eV per atom
- D(E_F): 4.48 states/eV/f.u.
- M_tot: 0.0 μB per formula unit
- Formation energy: 0.670 eV per atom

14.
Entry from Alexandria: a relaxed structure of Ca2PtW (PBE).

Cell and atoms, written as CIF:
```
data_Ca2PtW
_chemical_formula_sum 'Ca2 Pt1 W1'
_symmetry_space_group_name_H-M 'P 1 2/m 1'
_symmetry_Int_Tables_number 10
_symmetry_space_group_name_Hall '-P 2y'
_cell_length_a 2.9768
_cell_length_b 4.6377
_cell_length_c 6.0056
_cell_angle_alpha 90.00
_cell_angle_beta 90.19
_cell_angle_gamma 90.00
loop_
_atom_site_label
_atom_site_fract_x
_atom_site_fract_y
_atom_site_fract_z
_atom_site_occupancy
Ca1 0.9997 0.0000 0.2453 1
Pt1 0.5000 0.5000 0.0000 1
W1 0.5000 0.5000 0.5000 1
```

Values from the calculation:
- Polymorph energy (0 for the lowest one): 0.282 eV per atom
- D(E_F): 4.41 states/eV/f.u.
- M_tot: 0.0 μB per formula unit
- Formation energy: 0.402 eV per atom